(1)
This record from Alexandria describes a relaxed Te2AsC crystal. The functional is PBE-GGA.

The structure belongs to space group R-3m (No. 166, hexagonal axes); the cell edges are 4.5530, 4.5530 and 21.0737 Å and the angles 90.00°, 90.00° and 120.00°. The asymmetric unit holds Te at (0.0000, 0.0000, 0.0924), As at (0.0000, 0.0000, 0.5000) and C at (0.0000, 0.0000, 0.0000).

Its energy relative to the elements, uncorrected is 1.1404 eV per atom. As for the excess energy over the best structure of this formula in the dataset: 7.9 kJ/mol of atoms.



(2)
This record from Alexandria describes a relaxed Te2AsC crystal. The functional is PBE-GGA.

The structure belongs to space group I-42d (No. 122); the cell edges are 6.6725, 6.6725 and 8.4813 Å and the angles 90.00°, 90.00° and 90.00°. The asymmetric unit holds Te at (0.1843, 0.2500, 0.1250), As at (0.0000, 0.0000, 0.5000) and C at (0.0000, 0.0000, 0.0000).

Its energy relative to the elements, uncorrected is 1.0588 eV per atom. As for the excess energy over the best structure of this formula in the dataset: 0.0 kJ/mol of atoms.